Compound: Hf6Al3P
Source: Alexandria
Functional: PBE
Structure: relaxed

Its energy of formation from the pure elements is -33 kJ/mol of atoms. For the total energy, the calculation gives -7.97 eV/atom. The crystal system is monoclinic. As for the density of states at the Fermi level: 0.734 states/eV/atom.

The space group is P2_1/c (No. 14) and the conventional cell measures 5.4830, 7.6407 and 10.9694 Å, with angles of 90.00, 119.16 and 90.00 degrees. The distinct sites, in fractional coordinates, are Hf at (0.0408, 0.1625, 0.4354), Hf at (0.3475, 0.6812, 0.4369), Hf at (0.4091, 0.0349, 0.2584), Al at (0.0000, 0.0000, 0.0000), Al at (0.1414, 0.1227, 0.7585) and P at (0.5000, 0.0000, 0.5000).